(1)
Density functional theory data (meta-GGA SCAN) for ZnReRh2 at its PBEsol-relaxed geometry.

Lattice parameters (Å, degrees): 2.730 4.443 4.547 90.00 90.00 90.00
Space group Pmmm (No. 47)
Asymmetric unit:
Zn (0.000, 0.000, 0.000) [1 per cell]
Re (0.500, 0.000, 0.500) [1 per cell]
Rh (0.000, 0.500, 0.500) [1 per cell]
Rh (0.500, 0.500, 0.000) [1 per cell]

Calculated values
ΔE_f = 0.179 eV per atom
Excess energy over the best structure of this formula in the dataset = 0.478 eV/atom


(2)
Density functional theory data (meta-GGA SCAN) for ZnReRh2 at its PBEsol-relaxed geometry.

Lattice parameters (Å, degrees): 3.826 3.826 7.416 90.00 90.00 90.00
Space group I4/mmm (No. 139)
Asymmetric unit:
Zn (0.000, 0.000, 0.000) [2 per cell]
Re (0.000, 0.000, 0.500) [2 per cell]
Rh (0.000, 0.500, 0.250) [4 per cell]

Calculated values
ΔE_f = -0.081 eV per atom
Excess energy over the best structure of this formula in the dataset = 0.218 eV/atom


(3)
Density functional theory data (meta-GGA SCAN) for Zn2ReRh at its PBEsol-relaxed geometry.

Lattice parameters (Å, degrees): 2.7355 2.7355 25.4127 90.00 90.00 120.00
Space group R-3m (No. 166, hexagonal axes)
Asymmetric unit:
Zn (0.0000, 0.0000, 0.2473) [6 per cell]
Re (0.0000, 0.0000, 0.0000) [3 per cell]
Rh (0.0000, 0.0000, 0.5000) [3 per cell]

Calculated values
ΔE_f = -0.025 eV per atom
Excess energy over the best structure of this formula in the dataset = 0.000 eV/atom


(4)
Density functional theory data (meta-GGA SCAN) for Zn2ReRh at its PBEsol-relaxed geometry.

Lattice parameters (Å, degrees): 5.366 7.673 2.656 90.00 90.00 90.00
Space group Cmmm (No. 65)
Asymmetric unit:
Zn (0.250, 0.250, 0.000) [4 per cell]
Re (0.000, 0.000, 0.500) [2 per cell]
Rh (0.000, 0.500, 0.500) [2 per cell]

Calculated values
ΔE_f = 0.125 eV per atom
Excess energy over the best structure of this formula in the dataset = 0.150 eV/atom


(5)
Density functional theory data (meta-GGA SCAN) for ZnReRh2 at its PBEsol-relaxed geometry.

Lattice parameters (Å, degrees): 2.748 2.748 7.179 90.00 90.00 90.00
Space group P4/mmm (No. 123)
Asymmetric unit:
Zn (0.000, 0.000, 0.000) [1 per cell]
Re (0.000, 0.000, 0.500) [1 per cell]
Rh (0.500, 0.500, 0.249) [2 per cell]

Calculated values
ΔE_f = -0.299 eV per atom
Excess energy over the best structure of this formula in the dataset = 0.000 eV/atom


(6)
Density functional theory data (meta-GGA SCAN) for Zr2ReRh at its PBEsol-relaxed geometry.

Lattice parameters (Å, degrees): 6.504 6.504 6.504 90.00 90.00 90.00
Space group Fm-3m (No. 225)
Asymmetric unit:
Zr (0.250, 0.250, 0.250) [8 per cell]
Re (0.000, 0.000, 0.000) [4 per cell]
Rh (0.000, 0.000, 0.500) [4 per cell]

Calculated values
ΔE_f = -0.716 eV per atom


(7)
Density functional theory data (meta-GGA SCAN) for Zr2ReRh at its PBEsol-relaxed geometry.

Lattice parameters (Å, degrees): 3.270 3.270 6.442 90.00 90.00 90.00
Space group P4/mmm (No. 123)
Asymmetric unit:
Zr (0.000, 0.000, 0.247) [2 per cell]
Re (0.500, 0.500, 0.000) [1 per cell]
Rh (0.500, 0.500, 0.500) [1 per cell]

Calculated values
ΔE_f = -0.742 eV per atom


(8)
Density functional theory data (meta-GGA SCAN) for ReRu2 at its PBEsol-relaxed geometry.

Lattice parameters (Å, degrees): 4.700 4.286 8.154 90.00 90.00 90.00
Space group Pnma (No. 62)
Asymmetric unit:
Re (0.170, 0.250, 0.164) [4 per cell]
Ru (0.165, 0.250, 0.832) [4 per cell]
Ru (0.167, 0.250, 0.499) [4 per cell]

Calculated values
ΔE_f = -0.090 eV per atom
Excess energy over the best structure of this formula in the dataset = 0.000 eV/atom


(9)
Density functional theory data (meta-GGA SCAN) for ReRu5 at its PBEsol-relaxed geometry.

Lattice parameters (Å, degrees): 9.732 2.705 6.332 90.00 103.66 90.00
Space group Cm (No. 8)
Asymmetric unit:
Re (0.000, 0.000, 0.000) [2 per cell]
Ru (0.055, 0.000, 0.612) [2 per cell]
Ru (0.167, 0.500, 0.335) [2 per cell]
Ru (0.222, 0.500, 0.946) [2 per cell]
Ru (0.333, 0.000, 0.668) [2 per cell]
Ru (0.389, 0.000, 0.279) [2 per cell]

Calculated values
ΔE_f = -0.041 eV per atom
Excess energy over the best structure of this formula in the dataset = 0.003 eV/atom


(10)
Density functional theory data (meta-GGA SCAN) for Re7Ru at its PBEsol-relaxed geometry.

Lattice parameters (Å, degrees): 7.735 7.735 7.735 90.00 90.00 90.00
Space group Fm-3m (No. 225)
Asymmetric unit:
Re (0.000, 0.000, 0.000) [4 per cell]
Re (0.000, 0.250, 0.250) [24 per cell]
Ru (0.000, 0.000, 0.500) [4 per cell]

Calculated values
ΔE_f = 0.034 eV per atom


(11)
Density functional theory data (meta-GGA SCAN) for ReRu2 at its PBEsol-relaxed geometry.

Lattice parameters (Å, degrees): 9.789 2.715 6.371 90.00 103.73 90.00
Space group Cm (No. 8)
Asymmetric unit:
Re (0.000, 0.000, 0.000) [2 per cell]
Re (0.169, 0.500, 0.338) [2 per cell]
Ru (0.056, 0.000, 0.614) [2 per cell]
Ru (0.222, 0.500, 0.947) [2 per cell]
Ru (0.335, 0.000, 0.671) [2 per cell]
Ru (0.391, 0.000, 0.280) [2 per cell]

Calculated values
ΔE_f = -0.069 eV per atom
Excess energy over the best structure of this formula in the dataset = 0.021 eV/atom


(12)
Density functional theory data (meta-GGA SCAN) for ReRu2 at its PBEsol-relaxed geometry.

Lattice parameters (Å, degrees): 2.695 2.695 11.372 90.00 90.00 90.00
Space group I4/mmm (No. 139)
Asymmetric unit:
Re (0.000, 0.000, 0.000) [2 per cell]
Ru (0.000, 0.000, 0.333) [4 per cell]

Calculated values
ΔE_f = 0.078 eV per atom
Excess energy over the best structure of this formula in the dataset = 0.168 eV/atom